Er6CdIn3 | the Alexandria database | PBE | optimized geometry; space-group type = P2_1/m; calculated formation energy = -0.3220 eV/atom
1.0
-3.726 3.142 -2.098
-4.686 -7.433 -2.813
-3.638 2.783 10.628
In Er Cd
6 12 2
Cartesian
-4.806 -2.098 2.036 In
-8.113 -2.285 7.628 In
-7.244 0.590 3.681 In
-3.936 0.777 -1.911 In
-5.546 0.175 6.754 In
-6.504 -1.683 -1.037 In
-8.157 -1.845 1.656 Er
-5.555 0.751 0.923 Er
-3.395 -2.391 -0.908 Er
-5.976 -4.628 0.325 Er
-7.483 -4.034 -2.820 Er
-2.186 0.240 0.886 Er
-6.073 3.120 5.392 Er
-3.893 0.337 4.061 Er
-4.567 2.526 8.536 Er
-6.495 -2.259 4.794 Er
-8.654 0.883 6.624 Er
-9.863 -1.748 4.831 Er
-4.455 3.156 2.573 Cd
-7.594 -4.664 3.144 Cd


ErCd5In4 | the Alexandria database | PBE | optimized geometry; space-group type = Immm; calculated formation energy = -0.0026 eV/atom
1.0
0.554 -3.813 3.346
-4.627 -5.732 -1.874
5.467 -4.713 -2.385
Cd In Er
5 4 1
Cartesian
-1.487 -9.478 -0.825 Cd
-1.586 -7.166 1.825 Cd
3.257 -8.998 -1.065 Cd
0.836 -8.082 0.380 Cd
3.158 -6.687 1.585 Cd
0.606 -7.287 -2.568 In
-2.600 -6.495 -1.133 In
0.511 -5.064 -0.019 In
3.717 -5.857 -1.453 In
0.416 -2.860 2.509 Er


Er3Cd4In | the Alexandria database | PBE | optimized geometry; space-group type = Immm; calculated formation energy = -0.1728 eV/atom
1.0
3.430 0.000 0.000
0.000 10.121 0.000
-1.715 -5.061 6.035
In Cd Er
1 4 3
Cartesian
1.715 0.000 0.000 In
1.715 7.489 1.543 Cd
1.715 2.632 1.543 Cd
0.000 2.428 4.492 Cd
0.000 -2.428 4.492 Cd
0.000 0.000 2.668 Er
1.715 5.061 3.367 Er
0.000 5.061 0.000 Er


Er4CdIn | the Alexandria database | PBE | optimized geometry; space-group type = C2/m; calculated formation energy = -0.2490 eV/atom; E above lowest polymorph = 0.0 meV per atom
1.0
-1.921 -2.583 -1.270
4.904 -5.052 -1.856
-5.835 -1.172 6.490
Er In Cd
4 1 1
Cartesian
1.054 -3.097 -0.010 Er
-0.363 -7.506 1.672 Er
-2.488 -1.300 1.692 Er
-3.906 -5.709 3.374 Er
-1.426 -4.403 1.682 In
0.000 0.000 0.000 Cd